No. 1
This record from Alexandria via LeMat-Bulk describes a relaxed PrPu2Ag2Sn2 crystal. The functional is GGA-PBE.

Cell and atoms, written as extended XYZ:
```
7
Lattice="2.4033 1.3876 8.8778 -2.4033 1.3876 8.8778 0.0000 -2.7751 8.8778" Properties=species:S:1:pos:R:3 pbc="T T T"
Pr 0.0000 0.0000 0.0000
Pu 0.0000 0.0000 3.8263
Pu 0.0000 0.0000 22.8070
Ag 0.0000 0.0000 11.4065
Ag 0.0000 0.0000 15.2267
Sn 0.0000 0.0000 7.0412
Sn 0.0000 0.0000 19.5921
```

- electronic total energy (Ha/atom) = -0.258
- DOS at the Fermi energy (states/eV/f.u.) = 16.64
- formation enthalpy at 0 K (eV/f.u.) = -1.9



No. 2
This record from Alexandria via LeMat-Bulk describes a relaxed PrPuAg2Te4 crystal. The functional is GGA-PBE.

Cell and atoms, written as extended XYZ:
```
16
Lattice="7.6909 0.0000 0.0000 0.0000 7.6989 0.0000 0.0000 0.0000 8.3361" Properties=species:S:1:pos:R:3 pbc="T T T"
Pr 0.0000 0.0000 0.0000
Pr 3.8455 3.8495 4.1680
Pu 0.0000 0.0000 4.1680
Pu 3.8455 3.8495 0.0000
Ag 0.0000 3.8495 2.7534
Ag 0.0000 3.8495 5.5827
Ag 3.8455 0.0000 1.4146
Ag 3.8455 0.0000 6.9214
Te 1.9126 1.9404 6.6592
Te 1.9126 5.7585 1.6769
Te 1.9328 1.9091 2.4912
Te 1.9328 5.7899 5.8449
Te 5.7581 1.9091 5.8449
Te 5.7581 5.7899 2.4912
Te 5.7783 1.9404 1.6769
Te 5.7783 5.7585 6.6592
```

- electronic total energy (Ha/atom) = -0.195
- raw formation energy (eV/atom) = -0.62
- DOS at the Fermi energy (states/eV/f.u.) = 11.96



No. 3
This record from Alexandria via LeMat-Bulk describes a relaxed Pr2PuAgTe5 crystal. The functional is GGA-PBE.

Cell and atoms, written as extended XYZ:
```
18
Lattice="2.2147 -9.5031 0.0000 2.2147 9.5031 0.0000 0.0000 0.0000 13.3747" Properties=species:S:1:pos:R:3 pbc="T T T"
Pr 2.2147 7.3769 6.6874
Pr 2.2147 7.1203 1.6092
Pr 2.2147 -7.1203 8.2965
Pr 2.2147 -7.3769 0.0000
Pu 2.2147 5.7752 10.9964
Pu 2.2147 -5.7752 4.3091
Ag 2.2147 1.2669 3.6688
Ag 2.2147 -1.2669 10.3561
Te 2.2147 8.6696 11.9250
Te 2.2147 4.0139 6.4621
Te 2.2147 3.6704 2.0654
Te 2.2147 2.6382 10.8879
Te 2.2147 0.0218 7.9170
Te 2.2147 -0.0218 1.2296
Te 2.2147 -2.6382 4.2005
Te 2.2147 -3.6704 8.7528
Te 2.2147 -4.0139 13.1494
Te 2.2147 -8.6696 5.2377
```

- electronic total energy (Ha/atom) = -0.213
- raw formation energy (eV/atom) = -1.07
- DOS at the Fermi energy (states/eV/f.u.) = 14.49



No. 4
This record from Alexandria via LeMat-Bulk describes a relaxed RbPrAg2 crystal. The functional is GGA-PBE.

Cell and atoms, written as extended XYZ:
```
4
Lattice="3.9583 0.0000 0.0000 0.0000 3.9583 0.0000 0.0000 0.0000 8.4895" Properties=species:S:1:pos:R:3 pbc="T T T"
Rb 0.0000 0.0000 0.0000
Pr 0.0000 0.0000 4.2447
Ag 1.9792 1.9792 2.7256
Ag 1.9792 1.9792 5.7639
```

- electronic total energy (Ha/atom) = -0.108
- DOS at the Fermi energy (states/eV/f.u.) = 1.62
- formation enthalpy at 0 K (eV/f.u.) = -0.3



No. 5
This record from Alexandria via LeMat-Bulk describes a relaxed RbPr2AgS4 crystal. The functional is GGA-PBE.

Cell and atoms, written as extended XYZ:
```
16
Lattice="2.1068 -7.0952 0.0000 2.1068 7.0952 0.0000 0.0000 0.0000 14.5901" Properties=species:S:1:pos:R:3 pbc="T T T"
Rb 2.1068 5.4902 10.9426
Rb 2.1068 -5.4902 3.6475
Pr 2.1068 1.8788 8.2297
Pr 2.1068 1.8788 13.6555
Pr 2.1068 -1.8788 0.9346
Pr 2.1068 -1.8788 6.3604
Ag 2.1068 4.7916 3.6475
Ag 2.1068 -4.7916 10.9426
S 0.0000 0.0000 0.0000
S 0.0000 0.0000 7.2951
S 2.1068 3.3830 1.5223
S 2.1068 3.3830 5.7728
S 2.1068 0.8849 10.9426
S 2.1068 -0.8849 3.6475
S 2.1068 -3.3830 8.8173
S 2.1068 -3.3830 13.0678
```

- electronic total energy (Ha/atom) = -0.195
- raw formation energy (eV/atom) = -1.57



No. 6
This record from Alexandria via LeMat-Bulk describes a relaxed RbPrAgSe3 crystal. The functional is GGA-PBE.

Cell and atoms, written as extended XYZ:
```
12
Lattice="2.1555 -7.8450 0.0000 2.1555 7.8450 0.0000 0.0000 0.0000 11.2017" Properties=species:S:1:pos:R:3 pbc="T T T"
Rb 2.1555 3.9513 8.4013
Rb 2.1555 -3.9513 2.8004
Pr 2.1555 0.0000 0.0000
Pr 2.1555 0.0000 5.6009
Ag 2.1555 7.3483 2.8004
Ag 2.1555 -7.3483 8.4013
Se 2.1555 5.8572 0.6407
Se 2.1555 5.8572 4.9602
Se 2.1555 1.1081 2.8004
Se 2.1555 -1.1081 8.4013
Se 2.1555 -5.8572 6.2416
Se 2.1555 -5.8572 10.5610
```

- electronic total energy (Ha/atom) = -0.157
- raw formation energy (eV/atom) = -1.11
- DOS at the Fermi energy (states/eV/f.u.) = 7.32



No. 7
This record from Alexandria via LeMat-Bulk describes a relaxed RbPrAgSe2 crystal. The functional is GGA-PBE.

Cell and atoms, written as extended XYZ:
```
10
Lattice="8.0502 0.0000 0.0000 0.0000 5.1015 0.0000 -1.2567 0.0000 8.3954" Properties=species:S:1:pos:R:3 pbc="T T T"
Rb -0.3142 0.6522 2.0988
Rb -0.9425 4.4492 6.2965
Pr 3.0826 2.5174 6.2965
Pr 3.7109 2.5840 2.0988
Ag 4.0251 0.0000 0.0000
Ag 3.3968 0.0000 4.1977
Se 0.8671 1.8607 8.1251
Se 1.4954 3.2408 3.9274
Se 5.2981 1.8607 4.4680
Se 5.9265 3.2408 0.2703
```

- electronic total energy (Ha/atom) = -0.152
- raw formation energy (eV/atom) = -1.04
- DOS at the Fermi energy (states/eV/f.u.) = 1.14



No. 8
This record from Alexandria via LeMat-Bulk describes a relaxed RbPr3Ag2Te6 crystal. The functional is GGA-PBE.

Cell and atoms, written as extended XYZ:
```
12
Lattice="10.9505 -2.3281 0.0000 10.9505 2.3281 0.0000 -3.8363 0.0000 9.6720" Properties=species:S:1:pos:R:3 pbc="T T T"
Rb 0.0000 0.0000 0.0000
Pr -1.9181 0.0000 4.8360
Pr 6.5626 0.0000 1.5448
Pr 11.5021 0.0000 8.1273
Ag 6.5212 0.0000 5.0453
Ag 11.5435 0.0000 4.6267
Te 1.2851 0.0000 5.9036
Te 3.6314 0.0000 0.4655
Te 9.6453 0.0000 2.6356
Te 8.4195 0.0000 7.0364
Te 14.4334 0.0000 9.2065
Te 16.7797 0.0000 3.7684
```

- electronic total energy (Ha/atom) = -0.161
- raw formation energy (eV/atom) = -1.06



No. 9
This record from Alexandria via LeMat-Bulk describes a relaxed Pr5Ag2Rh2 crystal. The functional is GGA-PBE.

Cell and atoms, written as extended XYZ:
```
18
Lattice="-9.9990 3.2608 3.7436 9.9990 -3.2608 3.7436 9.9990 3.2608 -3.7436" Properties=species:S:1:pos:R:3 pbc="T T T"
Pr 1.5161 1.0554 0.0000
Pr 8.4828 1.0554 0.0000
Pr 3.2246 -1.0378 2.7351
Pr 6.7743 -1.0378 2.7351
Pr 3.2246 4.2985 -1.0084
Pr 6.7743 4.2985 -1.0084
Pr 4.9995 2.2765 1.6645
Pr 1.5161 2.2053 3.7436
Pr 8.4828 2.2053 3.7436
Pr 4.9995 0.9842 5.4081
Ag -1.1009 2.4318 1.1647
Ag 11.0999 2.4318 1.1647
Ag 1.1009 4.0897 1.1647
Ag -1.1009 0.8290 4.9083
Rh 4.9995 -0.3569 0.4769
Rh 14.9984 0.3569 0.4769
Rh 0.0000 0.0000 2.2458
Rh 9.9990 0.0000 2.2458
```

- excess energy over the best structure of this formula in the dataset (eV/atom) = 0.040
- electronic total energy (Ha/atom) = -0.194
- DOS at the Fermi energy (states/eV/f.u.) = 7.43
- formation enthalpy at 0 K (eV/f.u.) = -3.3



No. 10
This record from Alexandria via LeMat-Bulk describes a relaxed Pr7AgRh4 crystal. The functional is GGA-PBE.

Cell and atoms, written as extended XYZ:
```
12
Lattice="7.0013 -2.8594 0.0000 7.0013 2.8594 0.0000 -5.7113 0.0000 8.0643" Properties=species:S:1:pos:R:3 pbc="T T T"
Pr 0.0000 0.0000 0.0000
Pr -1.1101 0.0000 5.0144
Pr 3.4424 0.0000 0.9473
Pr 2.3005 0.0000 5.0983
Pr 5.9907 0.0000 2.9660
Pr 4.8488 0.0000 7.1171
Pr 9.4013 0.0000 3.0500
Ag 7.0013 0.0000 0.0000
Rh -3.5028 0.0000 6.2712
Rh 0.9549 0.0000 2.7287
Rh 7.3363 0.0000 5.3356
Rh 11.7940 0.0000 1.7931
```

- electronic total energy (Ha/atom) = -0.214
- DOS at the Fermi energy (states/eV/f.u.) = 9.25
- formation enthalpy at 0 K (eV/f.u.) = -4.0



No. 11
This record from Alexandria via LeMat-Bulk describes a relaxed Pr8AgRh5 crystal. The functional is GGA-PBE.

Cell and atoms, written as extended XYZ:
```
14
Lattice="-4.5344 4.5344 4.4663 4.5344 -4.5344 4.4663 4.5344 4.5344 -4.4663" Properties=species:S:1:pos:R:3 pbc="T T T"
Pr 1.6353 -0.5806 2.8659
Pr 0.5179 2.7587 0.6422
Pr 2.8991 5.1150 -1.6004
Pr 3.9539 2.8991 1.6004
Pr -0.5179 6.3102 0.6422
Pr 0.5806 1.6353 6.0668
Pr -1.7758 4.0166 3.8241
Pr 1.7758 5.0523 3.8241
Ag 4.5344 0.0000 2.2332
Rh 0.0000 0.0000 0.0000
Rh 3.3390 2.2993 -1.1100
Rh 2.2352 -1.1954 5.5764
Rh 1.1954 2.2352 3.3563
Rh 2.2993 5.7299 1.1100
```

- electronic total energy (Ha/atom) = -0.224
- DOS at the Fermi energy (states/eV/f.u.) = 3.86
- formation enthalpy at 0 K (eV/f.u.) = -7.5



No. 12
This record from Alexandria via LeMat-Bulk describes a relaxed Pr2AgRh crystal. The functional is GGA-PBE.

Cell and atoms, written as extended XYZ:
```
12
Lattice="4.1525 0.0000 0.0000 -2.0762 3.5962 0.0000 0.0000 0.0000 22.6593" Properties=species:S:1:pos:R:3 pbc="T T T"
Pr 0.0000 0.0000 5.3684
Pr 0.0000 0.0000 17.2908
Pr 0.0000 2.3974 9.7378
Pr 0.0000 2.3974 20.4746
Pr 2.0762 1.1987 2.1846
Pr 2.0762 1.1987 12.9215
Ag 0.0000 0.0000 0.0000
Ag 0.0000 2.3974 15.1062
Ag 2.0762 1.1987 7.5531
Rh 0.0000 0.0000 11.3296
Rh 0.0000 2.3974 3.7766
Rh 2.0762 1.1987 18.8827
```

- electronic total energy (Ha/atom) = -0.196
- DOS at the Fermi energy (states/eV/f.u.) = 1.88
- formation enthalpy at 0 K (eV/f.u.) = -1.6